[1]
{
  "formula": "IrPbAu2",
  "functional": "PBE",
  "state": "relaxed",
  "space_group": "No. 12",
  "dft_energy_ev_per_cell": -17.8,
  "total_magnetization_mub_per_cell": 0.000,
  "cell": [[5.910, 0.024, -0.052], [-3.229, 4.950, -0.052], [0.841, 1.561, 2.601]],
  "species": ["Ir", "Au", "Au", "Pb"],
  "frac_coords": [[0.500, 0.000, 0.500], [0.500, 0.500, 0.000], [0.000, 0.000, 0.000], [0.000, 0.500, 0.500]]
}

[2]
{
  "formula": "IrPbAu4",
  "functional": "PBE",
  "state": "relaxed",
  "space_group": "No. 216",
  "dft_energy_ev_per_cell": -23.1,
  "total_magnetization_mub_per_cell": 0.000,
  "cell": [[-3.282, 0.418, 4.432], [-4.029, 3.787, 0.110], [-5.290, -1.581, -0.318]],
  "species": ["Au", "Au", "Au", "Ir", "Au", "Pb"],
  "frac_coords": [[0.375, 0.874, 0.375], [0.375, 0.375, 0.874], [0.375, 0.375, 0.375], [0.750, 0.750, 0.750], [0.874, 0.375, 0.375], [0.000, 0.000, 0.000]]
}

[3]
{
  "formula": "IrPb3Au",
  "functional": "PBE",
  "state": "relaxed",
  "space_group": "No. 221",
  "relative_energy_mev_per_atom": 0,
  "dft_energy_ev_per_cell": -21.5,
  "total_magnetization_mub_per_cell": 0.000,
  "cell": [[5.298, 0.000, 0.000], [0.000, 5.298, 0.000], [0.000, 0.000, 5.298]],
  "species": ["Pb", "Au", "Pb", "Pb", "Ir"],
  "frac_coords": [[0.500, 0.000, 0.000], [0.500, 0.500, 0.500], [0.000, 0.000, 0.500], [0.000, 0.500, 0.000], [0.000, 0.000, 0.000]]
}

[4]
{
  "formula": "Ir3PbAu",
  "functional": "PBE",
  "state": "relaxed",
  "space_group": "No. 221",
  "relative_energy_mev_per_atom": 0,
  "dft_energy_ev_per_cell": -24.0,
  "total_magnetization_mub_per_cell": 0.759,
  "cell": [[-4.741, 0.710, 1.080], [-1.243, -3.630, -3.070], [0.354, -3.235, 3.681]],
  "species": ["Pb", "Ir", "Au", "Ir", "Ir"],
  "frac_coords": [[0.500, 0.500, 0.500], [0.000, 0.000, 0.500], [0.000, 0.000, 0.000], [0.000, 0.500, 0.000], [0.500, 0.000, 0.000]]
}

[5]
{
  "formula": "IrPbAu2",
  "functional": "PBE",
  "state": "relaxed",
  "space_group": "No. 47",
  "dft_energy_ev_per_cell": -17.6,
  "total_magnetization_mub_per_cell": 0.000,
  "cell": [[-1.362, -2.601, 1.720], [-1.354, -1.888, -3.926], [4.263, -2.432, -0.301]],
  "species": ["Pb", "Au", "Ir", "Au"],
  "frac_coords": [[0.000, 0.500, 0.500], [0.500, 0.500, 0.000], [0.500, 0.000, 0.500], [0.000, 0.000, 0.000]]
}

[6]
{
  "formula": "IrPbAu2",
  "functional": "PBE",
  "state": "relaxed",
  "space_group": "No. 35",
  "dft_energy_ev_per_cell": -17.3,
  "total_magnetization_mub_per_cell": 0.000,
  "cell": [[-1.869, 0.856, 2.171], [-1.211, -1.043, -2.527], [0.128, -9.246, 3.756]],
  "species": ["Ir", "Au", "Pb", "Au"],
  "frac_coords": [[0.000, 0.000, 0.488], [0.500, 0.500, 0.260], [0.500, 0.500, 0.729], [0.000, 0.000, 0.022]]
}

[7]
{
  "formula": "IrRhPbAu2",
  "functional": "PBE",
  "state": "relaxed",
  "space_group": "No. 123",
  "dft_energy_ev_per_cell": -22.5,
  "total_magnetization_mub_per_cell": 0.000,
  "cell": [[-3.087, -3.758, -1.647], [1.963, -3.162, 3.536], [-3.271, 1.358, 3.030]],
  "species": ["Au", "Pb", "Rh", "Au", "Ir"],
  "frac_coords": [[0.500, 0.000, 0.000], [0.500, 0.500, 0.500], [0.000, 0.000, 0.500], [0.000, 0.500, 0.000], [0.000, 0.000, 0.000]]
}

[8]
{
  "formula": "Sc2IrPbAu",
  "functional": "PBE",
  "state": "relaxed",
  "space_group": "No. 123",
  "dft_energy_ev_per_cell": -24.2,
  "total_magnetization_mub_per_cell": 0.000,
  "cell": [[-0.741, 5.312, -0.211], [-4.819, -0.700, -0.715], [-0.802, 0.099, 5.306]],
  "species": ["Sc", "Sc", "Au", "Ir", "Pb"],
  "frac_coords": [[0.000, 0.000, 0.500], [0.500, 0.000, 0.000], [0.500, 0.500, 0.500], [0.000, 0.500, 0.000], [0.000, 0.000, 0.000]]
}